Computed, not measured: PrMgCo4O12 after structural relaxation at the PBE+U level of DFT.

It has space group Amm2 (No. 38), with a = 7.6467 Å, b = 7.1826 Å, c = 7.2877 Å, α = 90.00°, β = 90.00° and γ = 90.00°. The inequivalent atoms are Pr at (0.0000, 0.0000, 0.0000), Mg at (0.5000, 0.0000, 0.4617), Co at (0.2626, 0.2487, 0.7218), O at (0.0000, 0.2023, 0.7181), O at (0.1961, 0.0000, 0.2696), O at (0.2586, 0.2035, 0.9741), O at (0.3191, 0.0000, 0.6655) and O at (0.5000, 0.1864, 0.2524).

For the uncorrected energy, the calculation gives -5.73 eV/atom.



Computed, not measured: MgCoPtO4 after structural relaxation at the PBE+U level of DFT.

It has space group Imma (No. 74), with a = 5.7937 Å, b = 6.0257 Å, c = 8.9988 Å, α = 90.00°, β = 90.00° and γ = 90.00°. The inequivalent atoms are Mg at (0.0000, 0.2500, 0.1163), Co at (0.2500, 0.2500, 0.7500), Pt at (0.0000, 0.0000, 0.5000), O at (0.0000, 0.0323, 0.7620) and O at (0.2347, 0.2500, 0.5343).

For the uncorrected energy, the calculation gives -5.77 eV/atom.



Computed, not measured: Mg2CoPtO6 after structural relaxation at the PBE+U level of DFT.

It has space group P4mm (No. 99), with a = 5.4738 Å, b = 5.4738 Å, c = 4.2650 Å, α = 90.00°, β = 90.00° and γ = 90.00°. The inequivalent atoms are Mg at (0.0000, 0.5000, 0.0000), Co at (0.0000, 0.0000, 0.6831), Pt at (0.5000, 0.5000, 0.7478), O at (0.0000, 0.0000, 0.2880), O at (0.2458, 0.2458, 0.8349) and O at (0.5000, 0.5000, 0.2849).

For the uncorrected energy, the calculation gives -5.51 eV/atom.



Computed, not measured: MgCoPtO6 after structural relaxation at the PBE+U level of DFT.

It has space group P-31c (No. 163), with a = 5.0185 Å, b = 5.0185 Å, c = 8.8320 Å, α = 90.00°, β = 90.00° and γ = 120.00°. The inequivalent atoms are Mg at (0.0000, 0.0000, 0.0000), Co at (0.3333, 0.6667, 0.2500), Pt at (0.3333, 0.6667, 0.7500) and O at (0.0163, 0.3573, 0.1346).

For the uncorrected energy, the calculation gives -5.64 eV/atom.



Computed, not measured: MgCo2PtO after structural relaxation at the PBE+U level of DFT.

It has space group P4/mmm (No. 123), with a = 3.9082 Å, b = 3.9082 Å, c = 4.6293 Å, α = 90.00°, β = 90.00° and γ = 90.00°. The inequivalent atoms are Mg at (0.0000, 0.0000, 0.0000), Co at (0.0000, 0.5000, 0.5000), Pt at (0.5000, 0.5000, 0.0000) and O at (0.5000, 0.5000, 0.5000).

For the uncorrected energy, the calculation gives -4.60 eV/atom.



Computed, not measured: PuMg2CoO6 after structural relaxation at the PBE+U level of DFT.

It has space group R3 (No. 146, hexagonal axes), with a = 5.2395 Å, b = 5.2395 Å, c = 14.0716 Å, α = 90.00°, β = 90.00° and γ = 120.00°. The inequivalent atoms are Pu at (0.0000, 0.0000, 0.0000), Mg at (0.0000, 0.0000, 0.2915), Mg at (0.0000, 0.0000, 0.7940), Co at (0.0000, 0.0000, 0.4947), O at (0.0346, 0.6916, 0.5679) and O at (0.0470, 0.3738, 0.0734).

For the uncorrected energy, the calculation gives -7.43 eV/atom.



Computed, not measured: RbMg6CoO8 after structural relaxation at the PBE+U level of DFT.

It has space group P4/mmm (No. 123), with a = 4.5369 Å, b = 4.5369 Å, c = 8.6833 Å, α = 90.00°, β = 90.00° and γ = 90.00°. The inequivalent atoms are Rb at (0.0000, 0.0000, 0.0000), Mg at (0.0000, 0.5000, 0.2587), Mg at (0.5000, 0.5000, 0.0000), Mg at (0.5000, 0.5000, 0.5000), Co at (0.0000, 0.0000, 0.5000), O at (0.0000, 0.0000, 0.2854), O at (0.0000, 0.5000, 0.0000), O at (0.0000, 0.5000, 0.5000) and O at (0.5000, 0.5000, 0.2517).

For the uncorrected energy, the calculation gives -5.39 eV/atom.



Computed, not measured: RbMg6CoO8 after structural relaxation at the PBE+U level of DFT.

It has space group P4/mmm (No. 123), with a = 4.4130 Å, b = 4.4130 Å, c = 9.0789 Å, α = 90.00°, β = 90.00° and γ = 90.00°. The inequivalent atoms are Rb at (0.0000, 0.0000, 0.0000), Mg at (0.0000, 0.0000, 0.5000), Mg at (0.0000, 0.5000, 0.2682), Mg at (0.5000, 0.5000, 0.5000), Co at (0.5000, 0.5000, 0.0000), O at (0.0000, 0.0000, 0.2808), O at (0.0000, 0.5000, 0.0000), O at (0.0000, 0.5000, 0.5000) and O at (0.5000, 0.5000, 0.2557).

For the uncorrected energy, the calculation gives -5.39 eV/atom.



Computed, not measured: Mg2CoReO6 after structural relaxation at the PBE+U level of DFT.

It has space group R3 (No. 146, hexagonal axes), with a = 5.1726 Å, b = 5.1726 Å, c = 13.9905 Å, α = 90.00°, β = 90.00° and γ = 120.00°. The inequivalent atoms are Mg at (0.0000, 0.0000, 0.0000), Mg at (0.0000, 0.0000, 0.4983), Co at (0.0000, 0.0000, 0.2115), Re at (0.0000, 0.0000, 0.7013), O at (0.0019, 0.3642, 0.4373) and O at (0.0440, 0.6753, 0.2769).

For the uncorrected energy, the calculation gives -6.93 eV/atom.



Computed, not measured: MgCoRhO4 after structural relaxation at the PBE+U level of DFT.

It has space group Imma (No. 74), with a = 5.8512 Å, b = 6.0376 Å, c = 8.4542 Å, α = 90.00°, β = 90.00° and γ = 90.00°. The inequivalent atoms are Mg at (0.0000, 0.2500, 0.1259), Co at (0.2500, 0.2500, 0.7500), Rh at (0.0000, 0.0000, 0.5000), O at (0.0000, 0.0322, 0.7443) and O at (0.2357, 0.2500, 0.5213).

For the uncorrected energy, the calculation gives -6.21 eV/atom.



Computed, not measured: MgCoS2O8 after structural relaxation at the PBE+U level of DFT.

It has space group P-3m1 (No. 164), with a = 5.1562 Å, b = 5.1562 Å, c = 5.9804 Å, α = 90.00°, β = 90.00° and γ = 120.00°. The inequivalent atoms are Mg at (0.0000, 0.0000, 0.0000), Co at (0.0000, 0.0000, 0.5000), S at (0.3333, 0.6667, 0.6838), O at (0.1746, 0.3492, 0.7691) and O at (0.3333, 0.6667, 0.4428).

For the uncorrected energy, the calculation gives -6.01 eV/atom.



Computed, not measured: Sr4MgCo2S2O6 after structural relaxation at the PBE+U level of DFT.

It has space group P-4m2 (No. 115), with a = 3.8799 Å, b = 3.8799 Å, c = 16.2763 Å, α = 90.00°, β = 90.00° and γ = 90.00°. The inequivalent atoms are Sr at (0.0000, 0.5000, 0.0850), Sr at (0.0000, 0.5000, 0.3081), Mg at (0.0000, 0.0000, 0.5000), Co at (0.0000, 0.5000, 0.8136), S at (0.0000, 0.5000, 0.5963), O at (0.0000, 0.0000, 0.2064), O at (0.0000, 0.5000, 0.9326) and O at (0.5000, 0.5000, 0.2060).

For the uncorrected energy, the calculation gives -5.69 eV/atom.



Computed, not measured: Sr3MgCo2S2O5 after structural relaxation at the PBE+U level of DFT.

It has space group I-4m2 (No. 119), with a = 3.8845 Å, b = 3.8845 Å, c = 27.8174 Å, α = 90.00°, β = 90.00° and γ = 90.00°. The inequivalent atoms are Sr at (0.0000, 0.0000, 0.0000), Sr at (0.0000, 0.0000, 0.1380), Mg at (0.0000, 0.5000, 0.7500), Co at (0.0000, 0.0000, 0.4307), S at (0.0000, 0.0000, 0.3063), O at (0.0000, 0.0000, 0.5000), O at (0.0000, 0.5000, 0.0783) and O at (0.0000, 0.5000, 0.5803).

For the uncorrected energy, the calculation gives -5.59 eV/atom.



Computed, not measured: MgScCo2O after structural relaxation at the PBE+U level of DFT.

It has space group P4/mmm (No. 123), with a = 4.3478 Å, b = 4.3478 Å, c = 3.8301 Å, α = 90.00°, β = 90.00° and γ = 90.00°. The inequivalent atoms are Mg at (0.0000, 0.0000, 0.0000), Sc at (0.5000, 0.5000, 0.0000), Co at (0.0000, 0.5000, 0.5000) and O at (0.0000, 0.0000, 0.5000).

For the uncorrected energy, the calculation gives -4.82 eV/atom.



Computed, not measured: Mg2CoSeO6 after structural relaxation at the PBE+U level of DFT.

It has space group P4mm (No. 99), with a = 5.2967 Å, b = 5.2967 Å, c = 4.6820 Å, α = 90.00°, β = 90.00° and γ = 90.00°. The inequivalent atoms are Mg at (0.0000, 0.5000, 0.0000), Co at (0.0000, 0.0000, 0.6513), Se at (0.5000, 0.5000, 0.7062), O at (0.0000, 0.0000, 0.2841), O at (0.2525, 0.2525, 0.8198) and O at (0.5000, 0.5000, 0.3472).

For the uncorrected energy, the calculation gives -5.44 eV/atom.



Computed, not measured: MgCoSiO5 after structural relaxation at the PBE+U level of DFT.

It has space group P-1 (No. 2), with a = 5.3332 Å, b = 5.4778 Å, c = 6.7978 Å, α = 106.48°, β = 107.29° and γ = 101.17°. The inequivalent atoms are Mg at (0.2457, 0.3703, 0.2686), Co at (0.5000, 0.0000, 0.0000), Co at (0.5000, 0.0000, 0.5000), Si at (0.1770, 0.3739, 0.7549), O at (0.1598, 0.7410, 0.3919), O at (0.1782, 0.6903, 0.8471), O at (0.2678, 0.2567, 0.9514), O at (0.3537, 0.3358, 0.5930) and O at (0.4051, 0.0599, 0.2412).

For the uncorrected energy, the calculation gives -6.53 eV/atom.



Computed, not measured: Mg6CoSiO8 after structural relaxation at the PBE+U level of DFT.

It has space group P4/mmm (No. 123), with a = 4.2691 Å, b = 4.2691 Å, c = 8.6325 Å, α = 90.00°, β = 90.00° and γ = 90.00°. The inequivalent atoms are Mg at (0.0000, 0.0000, 0.0000), Mg at (0.0000, 0.5000, 0.2499), Mg at (0.5000, 0.5000, 0.0000), Co at (0.0000, 0.0000, 0.5000), Si at (0.5000, 0.5000, 0.5000), O at (0.0000, 0.0000, 0.2397), O at (0.0000, 0.5000, 0.0000), O at (0.0000, 0.5000, 0.5000) and O at (0.5000, 0.5000, 0.2526).

For the uncorrected energy, the calculation gives -5.93 eV/atom.



Computed, not measured: MgCoSiO4 after structural relaxation at the PBE+U level of DFT.

It has space group Pnma (No. 62), with a = 10.2847 Å, b = 6.0898 Å, c = 4.8165 Å, α = 90.00°, β = 90.00° and γ = 90.00°. The inequivalent atoms are Mg at (0.0000, 0.0000, 0.0000), Co at (0.2253, 0.2500, 0.4980), Si at (0.0936, 0.7500, 0.4267), O at (0.0539, 0.2500, 0.7237), O at (0.0901, 0.7500, 0.7657) and O at (0.1610, 0.5328, 0.2764).

For the uncorrected energy, the calculation gives -6.86 eV/atom.



Computed, not measured: MgCoSiO4 after structural relaxation at the PBE+U level of DFT.

It has space group Cmcm (No. 63), with a = 5.6519 Å, b = 8.5052 Å, c = 6.2707 Å, α = 90.00°, β = 90.00° and γ = 90.00°. The inequivalent atoms are Mg at (0.0000, 0.1673, 0.2500), Co at (0.0000, 0.5000, 0.0000), Si at (0.0000, 0.1500, 0.7500), O at (0.0000, 0.2603, 0.5371) and O at (0.2290, 0.0252, 0.7500).

For the uncorrected energy, the calculation gives -6.81 eV/atom.